Entry 1:
Computed, not measured: a relaxed structure of CeFeP2Rh at the GGA-PBE level of DFT.

Calculated values
Total DFT energy (no corrections)   -7.50 eV per atom

POSCAR file:
```
CeFeP2Rh
1.0
3.9383 0.0000 0.0000
0.0000 3.9383 0.0000
0.0000 0.0000 9.7884
Ce Fe P Rh
2 2 4 2
direct
0.0000 0.0000 0.0000 Ce
0.5000 0.5000 0.5000 Ce
0.0000 0.5000 0.7500 Fe
0.5000 0.0000 0.2500 Fe
0.0000 0.0000 0.3793 P
0.0000 0.0000 0.6207 P
0.5000 0.5000 0.1207 P
0.5000 0.5000 0.8793 P
0.0000 0.5000 0.2500 Rh
0.5000 0.0000 0.7500 Rh
```

=====

Entry 2:
Computed, not measured: a relaxed structure of Y2MgGe4Pd3 at the GGA-PBE level of DFT.

Calculated values
Total DFT energy (no corrections)   -5.59 eV per atom

POSCAR file:
```
Y2MgGe4Pd3
1.0
4.1014 0.0000 0.0000
0.0000 4.1014 0.0000
0.0000 0.0000 11.3412
Y Mg Ge Pd
2 1 4 3
direct
0.0000 0.5000 0.2476 Y
0.5000 0.0000 0.7524 Y
0.5000 0.5000 0.0000 Mg
0.0000 0.0000 0.5000 Ge
0.0000 0.5000 0.8518 Ge
0.5000 0.0000 0.1482 Ge
0.5000 0.5000 0.5000 Ge
0.0000 0.0000 0.0000 Pd
0.0000 0.5000 0.6355 Pd
0.5000 0.0000 0.3645 Pd
```

=====

Entry 3:
Computed, not measured: a relaxed structure of TiZn2Ni2 at the GGA-PBE level of DFT.

Calculated values
Relative energy among the computed polymorphs   0 meV per atom

POSCAR file:
```
TiZn2Ni2
1.0
4.1060 0.0000 0.0000
-2.0530 3.5559 0.0000
0.0000 0.0000 4.9226
Ti Zn Ni
1 2 2
direct
0.0000 0.0000 0.0000 Ti
0.3333 0.6667 0.3698 Zn
0.6667 0.3333 0.6302 Zn
0.3333 0.6667 0.8692 Ni
0.6667 0.3333 0.1308 Ni
```

=====

Entry 4:
Computed, not measured: a relaxed structure of Tb2Sm3Hg2 at the GGA-PBE level of DFT.

Calculated values
Relative energy among the computed polymorphs   129 meV per atom

POSCAR file:
```
Tb2Sm3Hg2
1.0
4.8738 0.0000 0.0000
0.0000 23.5015 0.0000
0.0000 0.0000 3.5280
Tb Sm Hg
4 6 4
direct
0.0000 0.2094 0.0000 Tb
0.0000 0.7906 0.0000 Tb
0.5000 0.2906 0.0000 Tb
0.5000 0.7094 0.0000 Tb
0.0000 0.3595 0.5000 Sm
0.0000 0.5000 0.5000 Sm
0.0000 0.6405 0.5000 Sm
0.5000 0.0000 0.5000 Sm
0.5000 0.1405 0.5000 Sm
0.5000 0.8595 0.5000 Sm
0.0000 0.0708 0.0000 Hg
0.0000 0.9292 0.0000 Hg
0.5000 0.4292 0.0000 Hg
0.5000 0.5708 0.0000 Hg
```

=====

Entry 5:
Computed, not measured: a relaxed structure of Cu15Ni4Pt at the GGA-PBE level of DFT.

Calculated values
Total DFT energy (no corrections)   -4.55 eV per atom

POSCAR file:
```
Cu15Ni4Pt
1.0
3.6382 0.0000 0.0000
0.0000 3.6382 0.0000
0.0000 0.0000 17.9416
Cu Ni Pt
15 4 1
direct
0.0000 0.0000 0.0000 Cu
0.0000 0.0000 0.2055 Cu
0.0000 0.0000 0.4018 Cu
0.0000 0.0000 0.5982 Cu
0.0000 0.0000 0.7945 Cu
0.0000 0.5000 0.1070 Cu
0.0000 0.5000 0.3035 Cu
0.0000 0.5000 0.5000 Cu
0.0000 0.5000 0.6965 Cu
0.0000 0.5000 0.8930 Cu
0.5000 0.0000 0.1070 Cu
0.5000 0.0000 0.3035 Cu
0.5000 0.0000 0.5000 Cu
0.5000 0.0000 0.6965 Cu
0.5000 0.0000 0.8930 Cu
0.5000 0.5000 0.2052 Ni
0.5000 0.5000 0.4018 Ni
0.5000 0.5000 0.5982 Ni
0.5000 0.5000 0.7948 Ni
0.5000 0.5000 0.0000 Pt
```

=====

Entry 6:
Computed, not measured: a relaxed structure of LaMg5Cu2 at the GGA-PBE level of DFT.

Calculated values
Total DFT energy (no corrections)   -2.76 eV per atom

POSCAR file:
```
LaMg5Cu2
1.0
4.3115 0.0000 0.0000
0.0000 8.0686 0.0000
0.0000 0.0000 10.1087
La Mg Cu
2 10 4
direct
0.0000 0.0000 0.0000 La
0.5000 0.5000 0.5000 La
0.0000 0.1872 0.3413 Mg
0.0000 0.1872 0.6587 Mg
0.0000 0.5000 0.0000 Mg
0.0000 0.8128 0.3413 Mg
0.0000 0.8128 0.6587 Mg
0.5000 0.0000 0.5000 Mg
0.5000 0.3128 0.1587 Mg
0.5000 0.3128 0.8413 Mg
0.5000 0.6872 0.1587 Mg
0.5000 0.6872 0.8413 Mg
0.0000 0.5000 0.2625 Cu
0.0000 0.5000 0.7375 Cu
0.5000 0.0000 0.2375 Cu
0.5000 0.0000 0.7625 Cu
```

=====

Entry 7:
Computed, not measured: a relaxed structure of TaCdHg2 at the GGA-PBE level of DFT.

Calculated values
Total DFT energy (no corrections)   -2.86 eV per atom

POSCAR file:
```
TaCdHg2
1.0
3.2851 0.0000 0.0000
0.0000 4.9469 0.0000
0.0000 0.0000 5.1233
Ta Cd Hg
1 1 2
direct
0.0000 0.0000 0.0000 Ta
0.5000 0.0000 0.5000 Cd
0.0000 0.5000 0.5000 Hg
0.5000 0.5000 0.0000 Hg
```

=====

Entry 8:
Computed, not measured: a relaxed structure of TmSiIr2 at the GGA-PBE level of DFT.

Calculated values
Formation energy (no corrections)   -0.80 eV per atom

POSCAR file:
```
TmSiIr2
1.0
3.9287 0.0000 0.0000
0.0000 3.9287 0.0000
0.0000 0.0000 9.2433
Tm Si Ir
2 2 4
direct
0.2500 0.2500 0.2100 Tm
0.7500 0.7500 0.7900 Tm
0.2500 0.2500 0.6489 Si
0.7500 0.7500 0.3511 Si
0.2500 0.2500 0.8979 Ir
0.2500 0.7500 0.5000 Ir
0.7500 0.2500 0.5000 Ir
0.7500 0.7500 0.1021 Ir
```

=====

Entry 9:
Computed, not measured: a relaxed structure of K2UVSe4 at the GGA-PBE level of DFT.

Calculated values
Formation energy (no corrections)   -0.85 eV per atom

POSCAR file:
```
K2UVSe4
1.0
7.6244 0.0000 0.0000
0.0000 7.6244 0.0000
0.0000 0.0000 9.1100
K U V Se
4 2 2 8
direct
0.0000 0.0000 0.0000 K
0.0000 0.5000 0.2500 K
0.5000 0.0000 0.7500 K
0.5000 0.5000 0.5000 K
0.0000 0.5000 0.7500 U
0.5000 0.0000 0.2500 U
0.0000 0.0000 0.5000 V
0.5000 0.5000 0.0000 V
0.1817 0.7658 0.6114 Se
0.2342 0.1817 0.3886 Se
0.2658 0.3183 0.8886 Se
0.3183 0.7342 0.1114 Se
0.6817 0.2658 0.1114 Se
0.7342 0.6817 0.8886 Se
0.7658 0.8183 0.3886 Se
0.8183 0.2342 0.6114 Se
```

=====

Entry 10:
Computed, not measured: a relaxed structure of CsLaTcSb at the GGA-PBE level of DFT.

Calculated values
Relative energy among the computed polymorphs   111 meV per atom
Formation energy (no corrections)   0.07 eV per atom

POSCAR file:
```
CsLaTcSb
1.0
4.6423 0.0000 0.0000
1.1772 4.9779 0.0000
1.8433 1.9010 7.1082
Cs La Tc Sb
1 1 1 1
direct
0.0000 0.0000 0.0000 Cs
0.5778 0.6575 0.5609 La
0.7561 0.0776 0.5023 Tc
0.2522 0.2978 0.3718 Sb
```

=====

Entry 11:
Computed, not measured: a relaxed structure of Ce3TeSe6 at the GGA-PBE level of DFT.

Calculated values
Formation energy (no corrections)   -1.34 eV per atom

POSCAR file:
```
Ce3TeSe6
1.0
5.6380 -7.0059 0.0000
5.6380 7.0059 0.0000
0.0000 0.0000 7.2553
Ce Te Se
6 2 12
direct
0.0968 0.9032 0.5000 Ce
0.2090 0.4163 0.6149 Ce
0.4163 0.2090 0.1149 Ce
0.5837 0.7910 0.6149 Ce
0.7910 0.5837 0.1149 Ce
0.9032 0.0968 0.0000 Ce
0.3398 0.6602 0.0707 Te
0.6602 0.3398 0.5707 Te
0.0543 0.5955 0.3475 Se
0.1265 0.1974 0.3052 Se
0.1974 0.1265 0.8052 Se
0.2680 0.7320 0.7294 Se
0.4045 0.9457 0.3475 Se
0.4870 0.5130 0.3478 Se
0.5130 0.4870 0.8478 Se
0.5955 0.0543 0.8475 Se
0.7320 0.2680 0.2294 Se
0.8026 0.8735 0.3052 Se
0.8735 0.8026 0.8052 Se
0.9457 0.4045 0.8475 Se
```

=====

Entry 12:
Computed, not measured: a relaxed structure of U2TcRh at the GGA-PBE level of DFT.

Calculated values
Total DFT energy (no corrections)   -9.97 eV per atom

POSCAR file:
```
U2TcRh
1.0
2.9984 0.0000 0.0000
-1.4992 2.5967 0.0000
0.0000 0.0000 28.1960
U Tc Rh
6 3 3
direct
0.0000 0.0000 0.2483 U
0.0000 0.0000 0.7517 U
0.3333 0.6667 0.4184 U
0.3333 0.6667 0.9150 U
0.6667 0.3333 0.0850 U
0.6667 0.3333 0.5816 U
0.0000 0.0000 0.5000 Tc
0.3333 0.6667 0.1667 Tc
0.6667 0.3333 0.8333 Tc
0.0000 0.0000 0.0000 Rh
0.3333 0.6667 0.6667 Rh
0.6667 0.3333 0.3333 Rh
```